[1]
The following is a SCAN calculation of YReW2 at its PBEsol-relaxed geometry, from Alexandria via LeMat-Bulk.

Properties
Calculated density in g/cm3: 15.4
Formation energy from the elements in eV per atom: 0.3416
Energy above the lowest structure with this stoichiometry in eV per atom: 0.000
Calculated total energy in eV/atom: -59.24

Cell lengths 3.180, 4.629, 5.477 Å; angles 115.00, 106.88, 90.00 degrees
Fractional coordinates of all 4 atoms:
1 W 0.766 0.766 0.533
2 W 0.234 0.234 0.467
3 Y 0.000 0.500 0.000
4 Re 0.500 0.000 0.000

[2]
The following is a SCAN calculation of YReW2 at its PBEsol-relaxed geometry, from Alexandria via LeMat-Bulk.

Properties
Calculated density in g/cm3: 15.7
Formation energy from the elements in eV per atom: 0.4062
Energy above the lowest structure with this stoichiometry in eV per atom: 0.065
Calculated total energy in eV/atom: -59.17

Cell lengths 4.578, 4.578, 4.578 Å; angles 60.00, 60.00, 60.00 degrees
Fractional coordinates of all 4 atoms:
1 W 0.000 0.000 0.000
2 W 0.750 0.750 0.750
3 Y 0.250 0.250 0.250
4 Re 0.500 0.500 0.500

[3]
The following is a SCAN calculation of Zn2ReW at its PBEsol-relaxed geometry, from Alexandria via LeMat-Bulk.

Properties
Calculated density in g/cm3: 14.2
Formation energy from the elements in eV per atom: 0.1454
Energy above the lowest structure with this stoichiometry in eV per atom: 0.000
Calculated total energy in eV/atom: -41.81

Cell lengths 3.168, 3.168, 5.815 Å; angles 90.00, 90.00, 90.00 degrees
Fractional coordinates of all 4 atoms:
1 Zn 0.500 0.500 0.235
2 Zn 0.000 0.000 0.018
3 W 0.500 0.500 0.732
4 Re 0.000 0.000 0.515

[4]
The following is a SCAN calculation of Zn2ReW at its PBEsol-relaxed geometry, from Alexandria via LeMat-Bulk.

Properties
Calculated density in g/cm3: 14.7
Formation energy from the elements in eV per atom: 0.2324
Energy above the lowest structure with this stoichiometry in eV per atom: 0.087
Calculated total energy in eV/atom: -41.72

Cell lengths 3.400, 4.228, 4.776 Å; angles 116.27, 110.85, 90.00 degrees
Fractional coordinates of all 4 atoms:
1 Re 0.499 0.499 0.999
2 W 0.251 0.751 0.501
3 Zn 0.740 0.240 0.479
4 Zn 0.010 0.010 0.021

[5]
The following is a SCAN calculation of Zn2ReW at its PBEsol-relaxed geometry, from Alexandria via LeMat-Bulk.

Properties
Calculated density in g/cm3: 14.4
Formation energy from the elements in eV per atom: 0.2392
Energy above the lowest structure with this stoichiometry in eV per atom: 0.094
Calculated total energy in eV/atom: -41.71

Cell lengths 2.646, 4.714, 4.849 Å; angles 95.89, 90.00, 106.30 degrees
Fractional coordinates of all 4 atoms:
1 Zn 0.001 0.002 0.981
2 Zn 0.247 0.494 0.768
3 Re 0.503 0.006 0.486
4 W 0.749 0.498 0.266

[6]
The following is a SCAN calculation of ZnReW2 at its PBEsol-relaxed geometry, from Alexandria via LeMat-Bulk.

Properties
Calculated density in g/cm3: 17.3
Formation energy from the elements in eV per atom: 0.3084
Calculated total energy in eV/atom: -55.69

Cell lengths 3.868, 3.868, 4.824 Å; angles 113.63, 113.63, 90.00 degrees
Fractional coordinates of all 4 atoms:
1 Zn 0.500 0.500 0.000
2 W 0.750 0.250 0.500
3 W 0.000 0.000 0.000
4 Re 0.250 0.750 0.500

[7]
The following is a SCAN calculation of Zn2ReW at its PBEsol-relaxed geometry, from Alexandria via LeMat-Bulk.

Properties
Calculated density in g/cm3: 14.4
Formation energy from the elements in eV per atom: 0.3410
Energy above the lowest structure with this stoichiometry in eV per atom: 0.196
Calculated total energy in eV/atom: -41.61

Cell lengths 2.629, 4.201, 5.215 Å; angles 90.00, 90.00, 90.00 degrees
Fractional coordinates of all 4 atoms:
1 Zn 0.000 0.000 0.752
2 Zn 0.000 0.000 0.248
3 W 0.500 0.500 0.500
4 Re 0.500 0.500 0.000

[8]
The following is a SCAN calculation of ZnReW2 at its PBEsol-relaxed geometry, from Alexandria via LeMat-Bulk.

Properties
Calculated density in g/cm3: 17.4
Formation energy from the elements in eV per atom: 0.3116
Calculated total energy in eV/atom: -55.69

Cell lengths 3.214, 3.214, 5.735 Å; angles 90.00, 90.00, 90.00 degrees
Fractional coordinates of all 4 atoms:
1 W 0.000 0.000 0.760
2 W 0.000 0.000 0.240
3 Zn 0.500 0.500 0.000
4 Re 0.500 0.500 0.500

[9]
The following is a SCAN calculation of ZrReW at its PBEsol-relaxed geometry, from Alexandria via LeMat-Bulk.

Properties
Calculated density in g/cm3: 12.9
Formation energy from the elements in eV per atom: 0.3713
Calculated total energy in eV/atom: -56.79

Cell lengths 4.374, 4.374, 4.374 Å; angles 60.00, 60.00, 60.00 degrees
Fractional coordinates of all 3 atoms:
1 Zr 0.500 0.500 0.500
2 W 0.000 0.000 0.000
3 Re 0.250 0.250 0.250

[10]
The following is a SCAN calculation of ZrRe2W at its PBEsol-relaxed geometry, from Alexandria via LeMat-Bulk.

Properties
Calculated density in g/cm3: 16.3
Formation energy from the elements in eV per atom: 0.2279
Calculated total energy in eV/atom: -60.42

Cell lengths 3.804, 3.804, 5.286 Å; angles 111.09, 111.09, 90.00 degrees
Fractional coordinates of all 4 atoms:
1 Re 0.000 0.000 0.000
2 Re 0.750 0.250 0.500
3 Zr 0.250 0.750 0.500
4 W 0.500 0.500 0.000

[11]
The following is a SCAN calculation of YRe4 at its PBEsol-relaxed geometry, from Alexandria via LeMat-Bulk.

Properties
Calculated density in g/cm3: 14.3
Formation energy from the elements in eV per atom: 2.8159
Calculated total energy in eV/atom: -59.63

Cell lengths 5.008, 5.008, 5.008 Å; angles 109.47, 109.47, 109.47 degrees
Fractional coordinates of all 5 atoms:
1 Re 0.000 0.500 0.000
2 Re 0.500 0.000 0.000
3 Re 0.000 0.000 0.500
4 Re 0.500 0.500 0.500
5 Y 0.000 0.000 0.000

[12]
The following is a SCAN calculation of Y2Re at its PBEsol-relaxed geometry, from Alexandria via LeMat-Bulk.

Properties
Calculated density in g/cm3: 7.9
Formation energy from the elements in eV per atom: 0.1378
Calculated total energy in eV/atom: -42.12

Cell lengths 3.349, 3.349, 13.781 Å; angles 96.98, 96.98, 90.00 degrees
Fractional coordinates of all 6 atoms:
1 Y 0.811 0.311 0.622
2 Y 0.561 0.561 0.122
3 Y 0.439 0.439 0.878
4 Y 0.689 0.189 0.378
5 Re 0.000 0.000 0.000
6 Re 0.250 0.750 0.500

[13]
The following is a SCAN calculation of Y3Re at its PBEsol-relaxed geometry, from Alexandria via LeMat-Bulk.

Properties
Calculated density in g/cm3: 7.6
Formation energy from the elements in eV per atom: 0.1490
Calculated total energy in eV/atom: -38.51

Cell lengths 3.580, 5.216, 6.193 Å; angles 114.91, 106.80, 90.00 degrees
Fractional coordinates of all 4 atoms:
1 Y 0.702 0.202 0.403
2 Y 0.298 0.798 0.597
3 Y 0.500 0.500 0.000
4 Re 0.000 0.000 0.000

[14]
The following is a SCAN calculation of Y5Re24 at its PBEsol-relaxed geometry, from Alexandria via LeMat-Bulk.

Properties
Calculated density in g/cm3: 17.4
Formation energy from the elements in eV per atom: -0.1120
Calculated total energy in eV/atom: -63.75

Cell lengths 8.475, 8.475, 8.475 Å; angles 109.47, 109.47, 109.47 degrees
Fractional coordinates of all 29 atoms:
1 Y 0.000 0.000 0.632
2 Y 0.000 0.632 0.000
3 Y 0.368 0.368 0.368
4 Y 0.632 0.000 0.000
5 Y 0.000 0.000 0.000
6 Re 0.380 0.000 0.193
7 Re 0.813 0.620 0.620
8 Re 0.397 0.674 0.000
9 Re 0.277 0.603 0.603
10 Re 0.380 0.193 0.000
11 Re 0.000 0.674 0.397
12 Re 0.326 0.723 0.326
13 Re 0.603 0.603 0.277
14 Re 0.807 0.187 0.807
15 Re 0.620 0.620 0.813
16 Re 0.620 0.813 0.620
17 Re 0.193 0.000 0.380
18 Re 0.674 0.397 0.000
19 Re 0.603 0.277 0.603
20 Re 0.674 0.000 0.397
21 Re 0.000 0.380 0.193
22 Re 0.807 0.807 0.187
23 Re 0.326 0.326 0.723
24 Re 0.723 0.326 0.326
25 Re 0.193 0.380 0.000
26 Re 0.000 0.193 0.380
27 Re 0.397 0.000 0.674
28 Re 0.000 0.397 0.674
29 Re 0.187 0.807 0.807

[15]
The following is a SCAN calculation of YZn2Re at its PBEsol-relaxed geometry, from Alexandria via LeMat-Bulk.

Properties
Calculated density in g/cm3: 10.0
Formation energy from the elements in eV per atom: 0.0318
Energy above the lowest structure with this stoichiometry in eV per atom: 0.000
Calculated total energy in eV/atom: -31.46

Cell lengths 3.375, 3.375, 5.927 Å; angles 90.00, 90.00, 90.00 degrees
Fractional coordinates of all 4 atoms:
1 Re 0.500 0.500 0.000
2 Zn 0.000 0.000 0.795
3 Zn 0.000 0.000 0.205
4 Y 0.500 0.500 0.500

[16]
The following is a SCAN calculation of YZn2Re at its PBEsol-relaxed geometry, from Alexandria via LeMat-Bulk.

Properties
Calculated density in g/cm3: 10.2
Formation energy from the elements in eV per atom: 0.2161
Energy above the lowest structure with this stoichiometry in eV per atom: 0.184
Calculated total energy in eV/atom: -31.28

Cell lengths 2.896, 2.896, 7.907 Å; angles 90.00, 90.00, 90.00 degrees
Fractional coordinates of all 4 atoms:
1 Y 0.500 0.500 0.500
2 Zn 0.000 0.000 0.780
3 Zn 0.000 0.000 0.220
4 Re 0.500 0.500 0.000

[17]
The following is a SCAN calculation of YZrRe4 at its PBEsol-relaxed geometry, from Alexandria via LeMat-Bulk.

Properties
Calculated density in g/cm3: 14.5
Formation energy from the elements in eV per atom: -0.3474
Calculated total energy in eV/atom: -57.50

Cell lengths 5.309, 5.309, 5.309 Å; angles 60.00, 60.00, 60.00 degrees
Fractional coordinates of all 6 atoms:
1 Re 0.876 0.375 0.375
2 Re 0.375 0.375 0.876
3 Re 0.375 0.375 0.375
4 Re 0.375 0.876 0.375
5 Y 0.750 0.750 0.750
6 Zr 0.000 0.000 0.000

[18]
The following is a SCAN calculation of ZnRe2 at its PBEsol-relaxed geometry, from Alexandria via LeMat-Bulk.

Properties
Calculated density in g/cm3: 16.8
Formation energy from the elements in eV per atom: 0.0657
Calculated total energy in eV/atom: -51.84

Cell lengths 2.756, 2.756, 6.581 Å; angles 90.00, 90.00, 120.00 degrees
Fractional coordinates of all 3 atoms:
1 Re 0.333 0.667 0.658
2 Re 0.667 0.333 0.342
3 Zn 0.000 0.000 0.000

[19]
The following is a SCAN calculation of ZnRe at its PBEsol-relaxed geometry, from Alexandria via LeMat-Bulk.

Properties
Calculated density in g/cm3: 14.6
Formation energy from the elements in eV per atom: -0.0048
Energy above the lowest structure with this stoichiometry in eV per atom: 0.000
Calculated total energy in eV/atom: -42.31

Cell lengths 2.763, 2.763, 8.642 Å; angles 90.00, 90.00, 120.00 degrees
Fractional coordinates of all 4 atoms:
1 Zn 0.667 0.333 0.877
2 Zn 0.333 0.667 0.123
3 Re 0.667 0.333 0.380
4 Re 0.333 0.667 0.620

[20]
The following is a SCAN calculation of Zn3Re at its PBEsol-relaxed geometry, from Alexandria via LeMat-Bulk.

Properties
Calculated density in g/cm3: 11.6
Formation energy from the elements in eV per atom: 0.4402
Energy above the lowest structure with this stoichiometry in eV per atom: 0.376
Calculated total energy in eV/atom: -27.47

Cell lengths 4.267, 4.267, 4.267 Å; angles 60.00, 60.00, 60.00 degrees
Fractional coordinates of all 4 atoms:
1 Zn 0.750 0.750 0.750
2 Zn 0.500 0.500 0.500
3 Zn 0.250 0.250 0.250
4 Re 0.000 0.000 0.000

[21]
The following is a SCAN calculation of ZnRe at its PBEsol-relaxed geometry, from Alexandria via LeMat-Bulk.

Properties
Calculated density in g/cm3: 14.8
Formation energy from the elements in eV per atom: 0.1895
Energy above the lowest structure with this stoichiometry in eV per atom: 0.194
Calculated total energy in eV/atom: -42.12

Cell lengths 2.717, 2.717, 4.416 Å; angles 90.00, 90.00, 120.00 degrees
Fractional coordinates of all 2 atoms:
1 Zn 0.667 0.333 0.500
2 Re 0.000 0.000 0.000

[22]
The following is a SCAN calculation of Zn3Re at its PBEsol-relaxed geometry, from Alexandria via LeMat-Bulk.

Properties
Calculated density in g/cm3: 11.4
Formation energy from the elements in eV per atom: 0.0645
Energy above the lowest structure with this stoichiometry in eV per atom: 0.000
Calculated total energy in eV/atom: -27.85

Cell lengths 4.574, 5.508, 8.823 Å; angles 90.00, 90.00, 90.00 degrees
Fractional coordinates of all 16 atoms:
1 Zn 0.762 0.615 0.501
2 Zn 0.762 0.615 0.999
3 Zn 0.738 0.115 0.001
4 Zn 0.238 0.385 0.499
5 Zn 0.238 0.385 0.001
6 Zn 0.262 0.885 0.501
7 Zn 0.112 0.143 0.250
8 Zn 0.388 0.643 0.750
9 Zn 0.612 0.357 0.250
10 Zn 0.888 0.857 0.750
11 Zn 0.262 0.885 0.999
12 Zn 0.738 0.115 0.499
13 Re 0.872 0.353 0.750
14 Re 0.128 0.647 0.250
15 Re 0.628 0.853 0.250
16 Re 0.372 0.147 0.750

[23]
The following is a SCAN calculation of ZnRe5 at its PBEsol-relaxed geometry, from Alexandria via LeMat-Bulk.

Properties
Calculated density in g/cm3: 19.2
Formation energy from the elements in eV per atom: 0.0672
Calculated total energy in eV/atom: -61.43

Cell lengths 2.777, 4.390, 7.208 Å; angles 90.00, 101.11, 90.00 degrees
Fractional coordinates of all 6 atoms:
1 Re 0.998 0.000 0.996
2 Re 0.666 0.000 0.331
3 Re 0.334 0.000 0.668
4 Re 0.223 0.500 0.447
5 Re 0.558 0.500 0.115
6 Zn 0.888 0.500 0.775

[24]
The following is a SCAN calculation of ZnRe at its PBEsol-relaxed geometry, from Alexandria via LeMat-Bulk.

Properties
Calculated density in g/cm3: 14.5
Formation energy from the elements in eV per atom: 0.0604
Energy above the lowest structure with this stoichiometry in eV per atom: 0.065
Calculated total energy in eV/atom: -42.25

Cell lengths 2.752, 2.752, 8.942 Å; angles 81.15, 81.15, 60.00 degrees
Fractional coordinates of all 4 atoms:
1 Zn 0.876 0.876 0.373
2 Zn 0.124 0.124 0.627
3 Re 0.373 0.373 0.882
4 Re 0.627 0.627 0.118

[25]
The following is a SCAN calculation of ZnRe at its PBEsol-relaxed geometry, from Alexandria via LeMat-Bulk.

Properties
Calculated density in g/cm3: 14.6
Formation energy from the elements in eV per atom: 0.0591
Energy above the lowest structure with this stoichiometry in eV per atom: 0.064
Calculated total energy in eV/atom: -42.25

Cell lengths 2.940, 2.940, 6.615 Å; angles 90.00, 90.00, 90.00 degrees
Fractional coordinates of all 4 atoms:
1 Zn 0.500 0.000 0.620
2 Zn 0.000 0.500 0.380
3 Re 0.500 0.000 0.113
4 Re 0.000 0.500 0.887

[26]
The following is a SCAN calculation of ZnRe at its PBEsol-relaxed geometry, from Alexandria via LeMat-Bulk.

Properties
Calculated density in g/cm3: 14.8
Formation energy from the elements in eV per atom: 0.2083
Energy above the lowest structure with this stoichiometry in eV per atom: 0.213
Calculated total energy in eV/atom: -42.10

Cell lengths 2.712, 4.613, 4.754 Å; angles 96.76, 90.00, 107.10 degrees
Fractional coordinates of all 4 atoms:
1 Zn 0.623 0.245 0.895
2 Zn 0.377 0.755 0.105
3 Re 0.874 0.748 0.604
4 Re 0.126 0.252 0.396

[27]
The following is a SCAN calculation of ZnRe at its PBEsol-relaxed geometry, from Alexandria via LeMat-Bulk.

Properties
Calculated density in g/cm3: 14.8
Formation energy from the elements in eV per atom: 0.2025
Energy above the lowest structure with this stoichiometry in eV per atom: 0.207
Calculated total energy in eV/atom: -42.10

Cell lengths 2.707, 4.395, 4.747 Å; angles 90.00, 90.00, 90.00 degrees
Fractional coordinates of all 4 atoms:
1 Re 0.000 0.000 0.582
2 Re 0.500 0.500 0.418
3 Zn 0.500 0.000 0.074
4 Zn 0.000 0.500 0.926

[28]
The following is a SCAN calculation of Zn3Re at its PBEsol-relaxed geometry, from Alexandria via LeMat-Bulk.

Properties
Calculated density in g/cm3: 5.6
Formation energy from the elements in eV per atom: 1.2991
Energy above the lowest structure with this stoichiometry in eV per atom: 1.235
Calculated total energy in eV/atom: -26.61

Cell lengths 4.849, 4.849, 4.849 Å; angles 90.00, 90.00, 90.00 degrees
Fractional coordinates of all 4 atoms:
1 Zn 0.000 0.500 0.000
2 Zn 0.500 0.000 0.000
3 Zn 0.000 0.000 0.500
4 Re 0.000 0.000 0.000